# 1
{
  "formula": "Al2ZnAg6",
  "functional": "PBE",
  "state": "relaxed",
  "cell": [[6.6079, -4.7856, 0.0000], [6.6079, 4.7856, 0.0000], [-0.5631, 0.0000, 4.8405]],
  "species": ["Al", "Al", "Al", "Al", "Zn", "Zn", "Ag", "Ag", "Ag", "Ag", "Ag", "Ag", "Ag", "Ag", "Ag", "Ag", "Ag", "Ag"],
  "fractional_positions": [[0.0402, 0.2924, 0.0830], [0.2924, 0.0402, 0.5830], [0.7076, 0.9598, 0.4170], [0.9598, 0.7076, 0.9170], [0.3783, 0.6217, 0.7500], [0.6217, 0.3783, 0.2500], [0.0684, 0.8178, 0.4808], [0.1514, 0.3982, 0.6449], [0.1822, 0.9316, 0.0192], [0.2636, 0.5169, 0.1835], [0.3982, 0.1514, 0.1449], [0.4831, 0.7364, 0.3165], [0.5169, 0.2636, 0.6835], [0.6018, 0.8486, 0.8551], [0.7364, 0.4831, 0.8165], [0.8178, 0.0684, 0.9808], [0.8486, 0.6018, 0.3551], [0.9316, 0.1822, 0.5192]],
  "polymorph_energy_ev_per_atom": 0.0000,
  "sg": "No. 15",
  "formation_enthalpy_0k_kcal_per_mol_atoms": -0.3
}


# 2
{
  "formula": "Mg5Sc4Pb",
  "functional": "PBE",
  "state": "relaxed",
  "cell": [[7.4775, -2.5428, 0.0000], [7.4775, 2.5428, 0.0000], [-1.5931, 0.0000, 6.0617]],
  "species": ["Mg", "Mg", "Mg", "Mg", "Mg", "Sc", "Sc", "Sc", "Sc", "Pb"],
  "fractional_positions": [[0.0000, 0.0000, 0.0000], [0.2036, 0.2036, 0.2971], [0.3967, 0.3967, 0.0852], [0.6033, 0.6033, 0.9148], [0.7964, 0.7964, 0.7029], [0.1980, 0.1980, 0.8002], [0.3995, 0.3995, 0.6051], [0.6005, 0.6005, 0.3949], [0.8020, 0.8020, 0.1998], [0.0000, 0.0000, 0.5000]],
  "sg": "No. 12",
  "formation_enthalpy_0k_kcal_per_mol_atoms": -2.9
}


# 3
{
  "formula": "Pr3SnPt",
  "functional": "PBE",
  "state": "relaxed",
  "cell": [[6.6717, -5.7425, 0.0000], [6.6717, 5.7425, 0.0000], [0.0000, 0.0000, 8.1565]],
  "species": ["Pr", "Pr", "Pr", "Pr", "Pr", "Pr", "Pr", "Pr", "Pr", "Pr", "Pr", "Pr", "Sn", "Sn", "Sn", "Sn", "Pt", "Pt", "Pt", "Pt"],
  "fractional_positions": [[0.0195, 0.6931, 0.4077], [0.0718, 0.9282, 0.8031], [0.1931, 0.5195, 0.9077], [0.3069, 0.9805, 0.4077], [0.4282, 0.5718, 0.3031], [0.4805, 0.8069, 0.9077], [0.5195, 0.1931, 0.0923], [0.5718, 0.4282, 0.6969], [0.6931, 0.0195, 0.5923], [0.8069, 0.4805, 0.0923], [0.9282, 0.0718, 0.1969], [0.9805, 0.3069, 0.5923], [0.1650, 0.3350, 0.2500], [0.3350, 0.1650, 0.7500], [0.6650, 0.8350, 0.2500], [0.8350, 0.6650, 0.7500], [0.1927, 0.8073, 0.1222], [0.3073, 0.6927, 0.6222], [0.6927, 0.3073, 0.3778], [0.8073, 0.1927, 0.8778]],
  "sg": "No. 64",
  "formation_enthalpy_0k_kcal_per_mol_atoms": -15.5
}


# 4
{
  "formula": "Rb2NaAl3F12",
  "functional": "PBE",
  "state": "relaxed",
  "cell": [[7.2125, 0.0000, 0.0000], [0.0000, 7.1024, 0.0000], [-0.2087, 0.0000, 10.0225]],
  "species": ["Rb", "Rb", "Rb", "Rb", "Na", "Na", "Al", "Al", "Al", "Al", "Al", "Al", "F", "F", "F", "F", "F", "F", "F", "F", "F", "F", "F", "F", "F", "F", "F", "F", "F", "F", "F", "F", "F", "F", "F", "F"],
  "fractional_positions": [[0.0006, 0.2500, 0.1141], [0.4776, 0.2500, 0.3623], [0.5224, 0.7500, 0.6377], [0.9994, 0.7500, 0.8859], [0.2182, 0.7500, 0.2438], [0.7818, 0.2500, 0.7562], [0.0000, 0.0000, 0.5000], [0.0000, 0.5000, 0.5000], [0.2889, 0.2500, 0.7293], [0.5000, 0.0000, 0.0000], [0.5000, 0.5000, 0.0000], [0.7111, 0.7500, 0.2707], [0.0753, 0.7500, 0.5119], [0.0859, 0.2500, 0.8236], [0.1449, 0.0293, 0.3607], [0.1449, 0.4707, 0.3607], [0.1979, 0.0636, 0.6148], [0.1979, 0.4364, 0.6148], [0.2780, 0.5369, 0.0688], [0.2780, 0.9631, 0.0688], [0.3889, 0.0594, 0.8366], [0.3889, 0.4406, 0.8366], [0.4919, 0.2500, 0.0560], [0.5000, 0.2500, 0.6397], [0.5000, 0.7500, 0.3603], [0.5081, 0.7500, 0.9440], [0.6111, 0.5594, 0.1634], [0.6111, 0.9406, 0.1634], [0.7220, 0.0369, 0.9312], [0.7220, 0.4631, 0.9312], [0.8021, 0.5636, 0.3852], [0.8021, 0.9364, 0.3852], [0.8551, 0.5293, 0.6393], [0.8551, 0.9707, 0.6393], [0.9141, 0.7500, 0.1764], [0.9247, 0.2500, 0.4881]],
  "polymorph_energy_ev_per_atom": 0.0000,
  "sg": "No. 11",
  "formation_energy_uncorrected_mev_per_atom": -3369
}


# 5
{
  "formula": "Tm12Tl6Os",
  "functional": "PBE",
  "state": "relaxed",
  "cell": [[6.0073, 3.4683, 4.4269], [-6.0073, 3.4683, 4.4269], [0.0000, -6.9366, 4.4269]],
  "species": ["Tm", "Tm", "Tm", "Tm", "Tm", "Tm", "Tm", "Tm", "Tm", "Tm", "Tm", "Tm", "Tl", "Tl", "Tl", "Tl", "Tl", "Tl", "Os"],
  "fractional_positions": [[0.0458, 0.9276, 0.7070], [0.0724, 0.2930, 0.9542], [0.1866, 0.4066, 0.5267], [0.2930, 0.9542, 0.0724], [0.4066, 0.5267, 0.1866], [0.4733, 0.8134, 0.5934], [0.5267, 0.1866, 0.4066], [0.5934, 0.4733, 0.8134], [0.7070, 0.0458, 0.9276], [0.8134, 0.5934, 0.4733], [0.9276, 0.7070, 0.0458], [0.9542, 0.0724, 0.2930], [0.1508, 0.7722, 0.3678], [0.2278, 0.6322, 0.8492], [0.3678, 0.1508, 0.7722], [0.6322, 0.8492, 0.2278], [0.7722, 0.3678, 0.1508], [0.8492, 0.2278, 0.6322], [0.5000, 0.5000, 0.5000]],
  "sg": "No. 148",
  "formation_enthalpy_0k_kcal_per_mol_atoms": -2.7
}


# 6
{
  "formula": "Pm3MgCd2",
  "functional": "PBE",
  "state": "relaxed",
  "cell": [[3.8513, 0.0000, 0.0000], [0.0000, 3.8513, 0.0000], [0.0000, 0.0000, 11.4675]],
  "species": ["Pm", "Pm", "Pm", "Mg", "Cd", "Cd"],
  "fractional_positions": [[0.0000, 0.0000, 0.0000], [0.0000, 0.0000, 0.3324], [0.0000, 0.0000, 0.6676], [0.5000, 0.5000, 0.5000], [0.5000, 0.5000, 0.1691], [0.5000, 0.5000, 0.8309]],
  "polymorph_energy_ev_per_atom": 0.0043,
  "sg": "No. 123",
  "formation_enthalpy_0k_kcal_per_mol_atoms": -5.7
}